Computed, not measured: Cu2AsHPb after structural relaxation at the PBE level of DFT.

Cell lengths 4.8344, 3.5422, 4.8344 Å; angles 90.00, 90.00, 90.00 degrees
With the nearest neighbours (Å) after each atom.
Fractional coordinates of all 5 atoms:
Pb 0.5000 0.5000 0.5000  8 Cu 3.00
Cu 0.5000 0.0000 0.0000  2 As 2.42
Cu 0.0000 0.0000 0.5000  2 As 2.42
H 0.0000 0.5000 0.0000  2 As 1.77
As 0.0000 0.0000 0.0000  2 H 1.77

The value obtained for the electronic total energy is -3.67 eV/atom.